Record 1
Below is a relaxed Pr4Tm3Cd crystal, with properties calculated at the PBE level.

abc: 3.668 3.668 19.165
angles: 90.00 90.00 90.00
Positions (direct):
Pr 0.000 0.000 0.112
Pr 0.000 0.000 0.372
Pr 0.000 0.000 0.628
Pr 0.000 0.000 0.888
Tm 0.500 0.500 0.243
Tm 0.500 0.500 0.500
Tm 0.500 0.500 0.757
Cd 0.500 0.500 0.000

As for the space group: P4/mmm (123).

=====

Record 2
Below is a relaxed Pr3TmCd2 crystal, with properties calculated at the PBE level.

abc: 7.916 7.916 4.777
angles: 90.00 90.00 142.99
Positions (direct):
Pr 0.000 0.000 0.000
Pr 0.328 0.672 0.000
Pr 0.672 0.328 0.000
Tm 0.500 0.500 0.500
Cd 0.162 0.838 0.500
Cd 0.838 0.162 0.500

As for the space group: Cmmm (65). As for the relative energy among the computed polymorphs: 48.8 meV/atom.

=====

Record 3
Below is a relaxed Pr2TmCd crystal, with properties calculated at the PBE level.

abc: 12.590 12.590 12.590
angles: 16.13 16.13 16.13
Positions (direct):
Pr 0.089 0.089 0.089
Pr 0.911 0.911 0.911
Tm 0.500 0.500 0.500
Cd 0.000 0.000 0.000

As for the space group: R-3m (166). As for the relative energy among the computed polymorphs: 284.8 meV/atom.

=====

Record 4
Below is a relaxed Pr2TmCd crystal, with properties calculated at the PBE level.

abc: 5.249 5.249 8.994
angles: 90.00 90.00 90.00
Positions (direct):
Pr 0.250 0.250 0.222
Pr 0.250 0.750 0.500
Pr 0.750 0.250 0.500
Pr 0.750 0.750 0.778
Tm 0.250 0.250 0.782
Tm 0.750 0.750 0.218
Cd 0.250 0.750 0.000
Cd 0.750 0.250 0.000

As for the space group: P4/nmm (129). As for the relative energy among the computed polymorphs: 0.0 meV/atom.

=====

Record 5
Below is a relaxed Pr3Tm2Cd2 crystal, with properties calculated at the PBE level.

abc: 8.681 8.681 8.681
angles: 36.91 36.91 36.91
Positions (direct):
Pr 0.000 0.000 0.000
Pr 0.159 0.159 0.159
Pr 0.841 0.841 0.841
Tm 0.427 0.427 0.427
Tm 0.573 0.573 0.573
Cd 0.290 0.290 0.290
Cd 0.710 0.710 0.710

As for the space group: R-3m (166). As for the relative energy among the computed polymorphs: 0.0 meV/atom.

=====

Record 6
Below is a relaxed PrTm2Cd5 crystal, with properties calculated at the PBE level.

abc: 8.304 8.304 8.304
angles: 143.56 143.56 52.48
Positions (direct):
Pr 0.000 0.000 0.000
Tm 0.262 0.262 0.000
Tm 0.738 0.738 0.000
Cd 0.127 0.627 0.500
Cd 0.373 0.873 0.500
Cd 0.500 0.500 0.000
Cd 0.627 0.127 0.500
Cd 0.873 0.373 0.500

As for the space group: I4/mmm (139).

=====

Record 7
Below is a relaxed PrTm3Cd6 crystal, with properties calculated at the PBE level.

abc: 9.152 5.189 11.132
angles: 90.00 106.51 90.00
Positions (direct):
Pr 0.060 0.250 0.387
Pr 0.940 0.750 0.613
Tm 0.241 0.250 0.998
Tm 0.352 0.750 0.804
Tm 0.471 0.250 0.606
Tm 0.529 0.750 0.394
Tm 0.648 0.250 0.196
Tm 0.759 0.750 0.002
Cd 0.055 0.750 0.911
Cd 0.146 0.750 0.200
Cd 0.167 0.250 0.699
Cd 0.256 0.750 0.512
Cd 0.356 0.250 0.290
Cd 0.452 0.750 0.099
Cd 0.548 0.250 0.901
Cd 0.644 0.750 0.710
Cd 0.744 0.250 0.488
Cd 0.833 0.750 0.301
Cd 0.854 0.250 0.800
Cd 0.945 0.250 0.089

As for the space group: P2_1/m (11).

=====

Record 8
Below is a relaxed PrTm3Cd4 crystal, with properties calculated at the PBE level.

abc: 5.248 5.248 7.636
angles: 90.00 90.00 90.00
Positions (direct):
Pr 0.000 0.000 0.000
Tm 0.000 0.000 0.500
Tm 0.500 0.500 0.000
Tm 0.500 0.500 0.500
Cd 0.000 0.500 0.263
Cd 0.000 0.500 0.737
Cd 0.500 0.000 0.263
Cd 0.500 0.000 0.737

As for the space group: P4/mmm (123).

=====

Record 9
Below is a relaxed Pr6Tm8Cd crystal, with properties calculated at the PBE level.

abc: 9.506 9.506 6.272
angles: 90.00 90.00 120.00
Positions (direct):
Pr 0.089 0.637 0.194
Pr 0.363 0.453 0.194
Pr 0.453 0.089 0.806
Pr 0.547 0.911 0.194
Pr 0.637 0.547 0.806
Pr 0.911 0.363 0.806
Tm 0.042 0.782 0.694
Tm 0.218 0.260 0.694
Tm 0.260 0.042 0.306
Tm 0.333 0.667 0.688
Tm 0.667 0.333 0.312
Tm 0.740 0.958 0.694
Tm 0.782 0.740 0.306
Tm 0.958 0.218 0.306
Cd 0.000 0.000 0.000

As for the space group: P-3 (147).

=====

Record 10
Below is a relaxed Pr5TmCd3 crystal, with properties calculated at the PBE level.

abc: 9.513 9.513 7.052
angles: 90.00 90.00 120.00
Positions (direct):
Pr 0.000 0.334 0.250
Pr 0.000 0.666 0.750
Pr 0.333 0.667 0.000
Pr 0.333 0.667 0.500
Pr 0.334 0.000 0.250
Pr 0.334 0.334 0.750
Pr 0.666 0.000 0.750
Pr 0.666 0.666 0.250
Pr 0.667 0.333 0.000
Pr 0.667 0.333 0.500
Tm 0.000 0.000 0.000
Tm 0.000 0.000 0.500
Cd 0.000 0.327 0.750
Cd 0.000 0.673 0.250
Cd 0.327 0.000 0.750
Cd 0.327 0.327 0.250
Cd 0.673 0.000 0.250
Cd 0.673 0.673 0.750

As for the space group: P6_3/mcm (193).

=====

Electronic total energy / eV/cell: -33.870 -21.459 -14.382 -31.043 -26.050 -20.718 -52.818 -24.285 -64.174 -65.397
Calculated formation energy / kJ/mol of formula units: -41 -79 54 -56 -91 -233 -263 -235 115 -153